A plane-wave DFT calculation with PBE-GGA was carried out for an optimized crystal structure of Tb2ErHf.

Cell lengths 4.8232, 4.8466, 4.8466 Å; angles 90.00, 90.00, 90.00 degrees
With the nearest neighbours (Å) after each atom.
Positions (direct):
1 Tb 0.0000 0.0000 0.5000  4 Hf 3.42, 4 Er 3.42, 4 Tb 3.43
2 Tb 0.0000 0.5000 0.0000  4 Hf 3.42, 4 Er 3.42, 4 Tb 3.43
3 Hf 0.5000 0.0000 0.0000  8 Tb 3.42, 4 Er 3.43
4 Er 0.5000 0.5000 0.5000  8 Tb 3.42, 4 Hf 3.43

***

A plane-wave DFT calculation with PBE-GGA was carried out for an optimized crystal structure of TbErHf.

Cell lengths 9.8754, 3.3385, 14.3814 Å; angles 110.37, 46.38, 70.16 degrees
With the nearest neighbours (Å) after each atom.
Positions (direct):
1 Tb 0.4972 0.7657 0.8901  3 Er 3.23-3.44, 2 Tb 3.34, 4 Hf 3.38-3.40
2 Tb 0.5390 0.2858 0.2608  3 Er 3.23-3.44, 2 Tb 3.34, 4 Hf 3.38-3.40
3 Er 0.9586 0.6788 0.8051  3 Hf 3.16-3.29, 3 Tb 3.23-3.44, 3 Er 3.28-3.34
4 Er 0.0775 0.3727 0.3457  3 Hf 3.16-3.29, 3 Tb 3.23-3.44, 3 Er 3.28-3.34
5 Hf 0.3271 0.2798 0.7834  3 Er 3.16-3.29, 5 Hf 3.22-3.48, 4 Tb 3.38-3.40
6 Hf 0.7091 0.7717 0.3674  3 Er 3.16-3.29, 5 Hf 3.22-3.48, 4 Tb 3.38-3.40

***

A plane-wave DFT calculation with PBE-GGA was carried out for an optimized crystal structure of TbErHf.

Cell lengths 3.3629, 5.1624, 9.8681 Å; angles 90.00, 80.17, 90.00 degrees
With the nearest neighbours (Å) after each atom.
Positions (direct):
1 Tb 0.9307 0.8921 0.7567  1 Hf 3.27, 6 Tb 3.36-3.57, 4 Er 3.61
2 Tb 0.5231 0.3921 0.5717  1 Hf 3.27, 6 Tb 3.36-3.57, 4 Er 3.61
3 Er 0.3341 0.3920 0.9504  6 Hf 3.24-3.38, 2 Er 3.36, 4 Tb 3.61
4 Er 0.1197 0.8920 0.3780  6 Hf 3.24-3.38, 2 Er 3.36, 4 Tb 3.61
5 Hf 0.6915 0.3920 0.2352  2 Hf 2.93, 2 Er 3.24, 1 Tb 3.27
6 Hf 0.7624 0.8920 0.0932  2 Hf 2.93, 2 Er 3.24, 1 Tb 3.27

***

A plane-wave DFT calculation with PBE-GGA was carried out for an optimized crystal structure of TbErHf.

Cell lengths 3.3710, 5.3226, 5.3226 Å; angles 120.00, 90.00, 90.00 degrees
With the nearest neighbours (Å) after each atom.
Positions (direct):
1 Tb 0.6667 0.6667 0.3333  2 Tb 3.37, 6 Er 3.50-3.51, 6 Hf 3.50-3.51
2 Hf 0.1670 0.3333 0.6667  3 Er 3.07, 2 Hf 3.37
3 Er 0.1662 0.0000 0.0000  3 Hf 3.07, 2 Er 3.37

***

A plane-wave DFT calculation with PBE-GGA was carried out for an optimized crystal structure of ErHfTc.

Cell lengths 3.3762, 3.3762, 6.2151 Å; angles 105.76, 105.76, 90.00 degrees
With the nearest neighbours (Å) after each atom.
Positions (direct):
1 Hf 0.2969 0.2969 0.5938  4 Tc 2.73
2 Tc 0.6806 0.6806 0.3613  4 Hf 2.73, 4 Er 3.00
3 Er 0.0224 0.0224 0.0449  4 Tc 3.00, 1 Hf 3.15

***

A plane-wave DFT calculation with PBE-GGA was carried out for an optimized crystal structure of ErHfTc.

Cell lengths 4.5548, 6.5878, 9.3735 Å; angles 90.00, 90.00, 90.00 degrees
With the nearest neighbours (Å) after each atom.
Positions (direct):
1 Er 0.7500 0.0157 0.1278  4 Tc 2.80-3.05
2 Er 0.2500 0.5157 0.3722  4 Tc 2.80-3.05
3 Er 0.2500 0.9843 0.8722  4 Tc 2.80-3.05
4 Er 0.7500 0.4843 0.6278  4 Tc 2.80-3.05
5 Tc 0.7500 0.7766 0.3749  4 Hf 2.67-2.95, 3 Er 2.80-2.85
6 Tc 0.2500 0.2766 0.1251  4 Hf 2.67-2.95, 3 Er 2.80-2.85
7 Tc 0.2500 0.2234 0.6251  4 Hf 2.67-2.95, 3 Er 2.80-2.85
8 Tc 0.7500 0.7234 0.8749  4 Hf 2.67-2.95, 3 Er 2.80-2.85
9 Hf 0.7500 0.5158 0.1189  4 Tc 2.67-2.95
10 Hf 0.2500 0.0158 0.3811  4 Tc 2.67-2.95
11 Hf 0.2500 0.4842 0.8811  4 Tc 2.67-2.95
12 Hf 0.7500 0.9842 0.6189  4 Tc 2.67-2.95

***

Values for magnetic moment, μB/atom, ordered as above
0.000; 0.000; 0.000; 0.092; 0.000; 0.000
Values for distance to the lowest polymorph of the same formula, meV/atom, ordered as above
24.8; 31.0; 0.0; 118.7; 0.0; 220.9
Values for ΔH_f (0 K), eV/atom, ordered as above
0.141; 0.118; 0.087; 0.206; -0.195; 0.026